Here is an optimized crystal structure of MnOsRhO6 from Alexandria. Energies are from PBE+U.

## Properties
SG: No. 163
Final energy (eV per atom): -7.213

abc: 5.109 5.109 9.260
angles: 90.00 90.00 120.00
Last column: magnetic moment on the atom in μB.
Sites, in units of the cell vectors:
O1 0.655 0.015 0.367  -0.02
O2 0.640 0.655 0.633  -0.02
Mn1 0.000 0.000 0.500  4.51
O3 0.655 0.640 0.133  -0.02
O4 0.360 0.345 0.367  -0.02
O5 0.345 0.985 0.633  -0.02
O6 0.015 0.360 0.633  -0.02
O7 0.345 0.360 0.867  -0.02
O8 0.985 0.640 0.367  -0.02
Os1 0.333 0.667 0.750  -0.57
O9 0.360 0.015 0.133  -0.02
O10 0.985 0.345 0.133  -0.02
O11 0.640 0.985 0.867  -0.02
Rh1 0.667 0.333 0.750  0.13
Rh2 0.333 0.667 0.250  0.13
Mn2 0.000 0.000 0.000  4.51
Os2 0.667 0.333 0.250  -0.57
O12 0.015 0.655 0.867  -0.02